# PBE TaSb2Pb, relaxed
# Total moment ... 0.00 μB per formula unit
# Uncorrected formation energy ... 0.3105 eV per atom
# Energy ... -5.641 eV per atom
# V ... 25.21 A^3/atom
data_TaSb2Pb
_chemical_formula_sum 'Ta1 Sb2 Pb1'
_space_group_name_H-M_alt 'P 1 m 1'
_space_group_IT_number 6
_cell_length_a 3.879
_cell_length_b 4.947
_cell_length_c 5.598
_cell_angle_alpha 90.00
_cell_angle_beta 110.15
_cell_angle_gamma 90.00
loop_
_space_group_symop_operation_xyz
'x,y,z'
'x,-y,z'
loop_
_atom_site_label
_atom_site_type_symbol
_atom_site_fract_x
_atom_site_fract_y
_atom_site_fract_z
_atom_site_occupancy
Ta1 Ta 0.000 0.000 0.000 1
Sb1 Sb 0.290 0.000 0.578 1
Sb2 Sb 0.870 0.500 0.737 1
Pb1 Pb 0.593 0.500 0.185 1